Record 1
Compound: ScSb2TeI
Source: Alexandria
Functional: PBE
Structure: optimized geometry

POSCAR file:
```
ScSb2TeI
1.0
-2.730 -3.831 -3.253
-0.536 -3.459 4.523
-4.932 2.431 1.275
Sb I Sc Te
2 1 1 1
Cartesian
-1.365 -1.916 -1.626 Sb
-0.268 -1.729 2.262 Sb
0.000 0.000 0.000 I
-4.099 -2.429 1.273 Sc
-2.466 1.216 0.638 Te
```

Results
**Polymorph energy (0 for the lowest one)**: 0.8392 eV per atom
**ΔE_f (raw)**: 0.86 eV/atom
**V**: 36.93 Å³ per atom

***

Record 2
Compound: GdY2O
Source: Alexandria
Functional: PBE
Structure: optimized geometry

POSCAR file:
```
GdY2O
1.0
3.187 0.000 0.000
0.000 3.187 0.000
0.000 0.000 8.854
O Gd Y
1 1 2
Cartesian
1.594 1.594 0.000 O
1.594 1.594 4.427 Gd
0.000 0.000 7.319 Y
0.000 0.000 1.535 Y
```

Results
**Polymorph energy (0 for the lowest one)**: 0.4064 eV per atom
**ΔE_f (raw)**: -0.81 eV/atom
**V**: 22.48 Å³ per atom